1.
The following is a DFT calculation (PBE) of an optimized crystal structure of KICl5.

```
KICl5
1.0
5.583 -4.469 0.000
5.583 4.469 0.000
-2.114 0.000 11.292
K I Cl
2 2 10
direct
0.140 0.860 0.750
0.860 0.140 0.250
0.500 0.500 0.000
0.500 0.500 0.500
0.150 0.672 0.467
0.202 0.798 0.250
0.238 0.437 0.836
0.328 0.850 0.033
0.437 0.238 0.336
0.563 0.762 0.664
0.672 0.150 0.967
0.762 0.563 0.164
0.798 0.202 0.750
0.850 0.328 0.533
```

Calculated values
E_form (uncorrected) in eV per atom: -0.57



2.
The following is a DFT calculation (PBE) of an optimized crystal structure of HoAl2ZnAu4.

```
HoAl2ZnAu4
1.0
2.215 1.279 8.712
-2.215 1.279 8.712
0.000 -2.558 8.712
Ho Al Zn Au
1 2 1 4
direct
0.000 0.000 0.000
0.244 0.244 0.244
0.756 0.756 0.756
0.500 0.500 0.500
0.132 0.132 0.132
0.394 0.394 0.394
0.606 0.606 0.606
0.868 0.868 0.868
```

Calculated values
Formation enthalpy at 0 K in eV per formula unit: -4.05



3.
The following is a DFT calculation (PBE) of an optimized crystal structure of V5SiB.

```
V5SiB
1.0
3.321 -3.624 0.000
3.321 3.624 0.000
-1.320 0.000 7.396
V Si B
10 2 2
direct
0.098 0.633 0.357
0.123 0.877 0.750
0.192 0.379 0.974
0.367 0.902 0.143
0.379 0.192 0.474
0.621 0.808 0.526
0.633 0.098 0.857
0.808 0.621 0.026
0.877 0.123 0.250
0.902 0.367 0.643
0.464 0.536 0.750
0.536 0.464 0.250
0.000 0.000 0.000
0.000 0.000 0.500
```

Calculated values
E_form (uncorrected) in eV per atom: -0.19



4.
The following is a DFT calculation (PBE) of an optimized crystal structure of BeTeOs3.

```
BeTeOs3
1.0
4.223 0.000 0.000
0.000 4.223 0.000
0.000 0.000 4.223
Be Te Os
1 1 3
direct
0.000 0.000 0.000
0.500 0.500 0.500
0.000 0.000 0.500
0.000 0.500 0.000
0.500 0.000 0.000
```

Calculated values
Energy above the most stable polymorph in this dataset in meV per atom: 0.0
E_form (uncorrected) in eV per atom: 0.97



5.
The following is a DFT calculation (PBE) of an optimized crystal structure of Pm3PrEr6.

```
Pm3PrEr6
1.0
5.538 -9.479 0.000
5.538 9.479 0.000
0.000 0.000 6.238
Pm Pr Er
6 2 12
direct
0.108 0.892 0.500
0.215 0.435 0.895
0.435 0.215 0.395
0.565 0.785 0.895
0.785 0.565 0.395
0.892 0.108 0.000
0.296 0.704 0.577
0.704 0.296 0.077
0.038 0.460 0.302
0.117 0.213 0.467
0.213 0.117 0.967
0.219 0.781 0.074
0.456 0.544 0.336
0.460 0.038 0.802
0.540 0.962 0.302
0.544 0.456 0.836
0.781 0.219 0.574
0.787 0.883 0.467
0.883 0.787 0.967
0.962 0.540 0.802
```

Calculated values
Energy above the most stable polymorph in this dataset in meV per atom: 0.0
Formation enthalpy at 0 K in eV per formula unit: 1.49



6.
The following is a DFT calculation (PBE) of an optimized crystal structure of Hg2SbP2.

```
Hg2SbP2
1.0
4.045 0.000 0.000
0.000 4.045 0.000
0.000 0.000 15.881
Hg Sb P
4 2 4
direct
0.000 0.500 0.250
0.000 0.500 0.750
0.500 0.000 0.250
0.500 0.000 0.750
0.000 0.000 0.000
0.500 0.500 0.500
0.000 0.000 0.434
0.000 0.000 0.566
0.500 0.500 0.066
0.500 0.500 0.934
```

Calculated values
Energy above the most stable polymorph in this dataset in meV per atom: 42.9
E_form (uncorrected) in eV per atom: 0.36



7.
The following is a DFT calculation (PBE) of an optimized crystal structure of FeWS2Cl.

```
FeWS2Cl
1.0
4.366 0.000 0.000
0.000 4.366 0.000
0.000 0.000 4.284
Fe W S Cl
1 1 2 1
direct
0.000 0.000 0.000
0.500 0.500 0.500
0.000 0.500 0.000
0.500 0.000 0.000
0.000 0.000 0.500
```

Calculated values
Energy above the most stable polymorph in this dataset in meV per atom: 540.2
E_form (uncorrected) in eV per atom: 1.05



8.
The following is a DFT calculation (PBE) of an optimized crystal structure of ZrScBe2.

```
ZrScBe2
1.0
3.858 0.000 0.000
0.000 3.274 0.000
0.000 0.000 10.278
Zr Sc Be
2 2 4
direct
0.000 0.000 0.000
0.000 0.500 0.500
0.500 0.000 0.301
0.500 0.500 0.801
0.000 0.000 0.712
0.000 0.500 0.212
0.500 0.000 0.593
0.500 0.500 0.093
```

Calculated values
Energy above the most stable polymorph in this dataset in meV per atom: 36.9
Formation enthalpy at 0 K in eV per formula unit: -0.13